(1)
CeCrN3, optimized geometry, DFT PBE; Fermi-level density of states = 0.84 states/eV/atom; formation energy (no corrections) = -423 kJ/mol of formula units
1.0
5.981 0.085 0.067
1.468 6.773 -0.832
1.468 0.783 6.779
Ce N Cr
4 12 4
direct
0.250 0.904 0.096
0.750 0.096 0.904
0.750 0.672 0.328
0.250 0.328 0.672
0.151 0.000 0.775
0.506 0.370 0.322
0.006 0.322 0.370
0.862 0.388 0.863
0.651 0.775 0.000
0.349 0.225 0.000
0.994 0.678 0.630
0.494 0.630 0.678
0.138 0.612 0.137
0.849 0.000 0.225
0.638 0.137 0.612
0.362 0.863 0.388
0.758 0.203 0.381
0.258 0.381 0.203
0.242 0.797 0.619
0.742 0.619 0.797



(2)
Ce3Cr10N11, optimized geometry, DFT PBE; Fermi-level density of states = 0.58 states/eV/atom; formation energy (no corrections) = -1877 kJ/mol of formula units
1.0
8.985 0.000 0.000
4.493 7.782 0.000
4.493 2.594 7.336
Cr N Ce
20 22 6
direct
0.902 0.902 0.295
0.110 0.390 0.390
0.110 0.390 0.110
0.098 0.098 0.705
0.098 0.098 0.098
0.098 0.705 0.098
0.705 0.098 0.098
0.390 0.390 0.110
0.890 0.610 0.610
0.610 0.610 0.890
0.610 0.890 0.890
0.110 0.110 0.390
0.295 0.902 0.902
0.902 0.902 0.902
0.902 0.295 0.902
0.390 0.110 0.390
0.610 0.890 0.610
0.890 0.890 0.610
0.390 0.110 0.110
0.890 0.610 0.890
0.638 0.086 0.638
0.000 0.000 0.000
0.638 0.638 0.638
0.000 0.346 0.000
0.654 0.346 0.000
0.000 0.654 0.000
0.346 0.654 0.000
0.346 0.000 0.654
0.362 0.362 0.362
0.500 0.500 0.500
0.000 0.346 0.654
0.654 0.000 0.346
0.362 0.362 0.914
0.000 0.000 0.346
0.362 0.914 0.362
0.000 0.654 0.346
0.086 0.638 0.638
0.638 0.638 0.086
0.346 0.000 0.000
0.000 0.000 0.654
0.914 0.362 0.362
0.654 0.000 0.000
0.306 0.306 0.694
0.694 0.694 0.306
0.694 0.306 0.694
0.306 0.694 0.306
0.694 0.306 0.306
0.306 0.694 0.694



(3)
Ce2CrN5, optimized geometry, DFT PBE; Fermi-level density of states = 0.95 states/eV/atom; formation energy (no corrections) = -374 kJ/mol of formula units
1.0
-3.045 2.379 -1.318
-2.200 -4.379 3.504
1.198 6.346 8.682
N Ce Cr
10 4 2
direct
0.713 0.426 0.250
0.060 0.119 0.128
0.287 0.574 0.750
0.292 0.584 0.422
0.940 0.881 0.628
0.292 0.584 0.078
0.708 0.416 0.922
0.060 0.119 0.372
0.940 0.881 0.872
0.708 0.416 0.578
0.849 0.698 0.083
0.151 0.302 0.583
0.849 0.698 0.417
0.151 0.302 0.917
0.151 0.302 0.250
0.849 0.698 0.750



(4)
CeCrN, optimized geometry, DFT PBE; Fermi-level density of states = 1.33 states/eV/atom; formation energy (no corrections) = -96 kJ/mol of formula units
1.0
3.061 0.000 0.000
-1.531 4.946 0.000
0.000 0.000 5.109
N Ce Cr
2 2 2
direct
0.921 0.842 0.750
0.079 0.158 0.250
0.806 0.612 0.250
0.194 0.388 0.750
0.500 0.000 0.000
0.500 0.000 0.500



(5)
Ce3CrN5, optimized geometry, DFT PBE; Fermi-level density of states = 1.08 states/eV/atom; formation energy (no corrections) = -1087 kJ/mol of formula units
1.0
-6.354 0.756 -1.662
1.115 -3.157 -5.701
1.404 -3.644 6.126
N Ce Cr
10 6 2
direct
0.502 0.295 0.297
0.500 0.500 0.000
0.998 0.498 0.703
0.705 0.205 0.703
0.498 0.705 0.703
0.000 0.000 0.000
0.795 0.002 0.297
0.002 0.502 0.297
0.295 0.795 0.297
0.205 0.998 0.703
0.250 0.250 0.500
0.327 0.827 0.000
0.750 0.750 0.500
0.827 0.673 0.000
0.173 0.327 0.000
0.673 0.173 0.000
0.750 0.250 0.500
0.250 0.750 0.500



(6)
Ce2CrN4, optimized geometry, DFT PBE; Fermi-level density of states = 1.28 states/eV/atom; E above lowest polymorph = 72 meV per atom; formation energy (no corrections) = -723 kJ/mol of formula units
1.0
-4.536 1.571 -2.987
-3.248 -2.586 3.572
1.372 4.813 4.733
N Ce Cr
8 4 2
direct
0.908 0.250 0.062
0.465 0.503 0.262
0.465 0.997 0.262
0.535 0.497 0.738
0.948 0.250 0.650
0.052 0.750 0.350
0.092 0.750 0.938
0.535 0.003 0.738
0.706 0.750 0.035
0.294 0.250 0.965
0.211 0.250 0.432
0.789 0.750 0.568
0.259 0.750 0.203
0.741 0.250 0.797



(7)
CeCrN3, optimized geometry, DFT PBE; Fermi-level density of states = 0.66 states/eV/atom; formation energy (no corrections) = -359 kJ/mol of formula units
1.0
-0.026 1.764 3.343
-3.369 -1.526 0.779
1.713 -2.974 1.584
Ce N Cr
1 3 1
direct
0.500 0.500 0.500
0.000 0.000 0.500
0.000 0.500 0.000
0.500 0.000 0.000
0.000 0.000 0.000



(8)
CeCrN2, optimized geometry, DFT PBE; Fermi-level density of states = 0.94 states/eV/atom; formation energy (no corrections) = -417 kJ/mol of formula units
1.0
5.417 -0.273 0.000
-1.495 5.805 0.000
0.000 0.000 6.209
Ce Cr N
4 4 8
direct
0.683 0.815 0.919
0.317 0.185 0.081
0.817 0.185 0.419
0.183 0.815 0.581
0.130 0.631 0.147
0.630 0.631 0.353
0.870 0.369 0.853
0.370 0.369 0.647
0.965 0.875 0.246
0.035 0.125 0.754
0.465 0.875 0.254
0.251 0.546 0.876
0.751 0.546 0.624
0.749 0.454 0.124
0.249 0.454 0.376
0.535 0.125 0.746



Number 1: E_tot -44.9 eV per formula unit. Number 2: E_tot -225.1 eV per formula unit. Number 3: E_tot -67.0 eV per formula unit. Number 4: E_tot -24.9 eV per formula unit. Number 5: E_tot -80.3 eV per formula unit. Number 6: E_tot -62.3 eV per formula unit. Number 7: E_tot -44.3 eV per formula unit. Number 8: E_tot -36.5 eV per formula unit.